Record 1
DFT (GGA-PBEsol) results for MnZnRe2 after structural relaxation.

Geometry as POSCAR:
```
MnZnRe2
1.0
1.5242 -2.1456 0.0000
1.5242 2.1456 0.0000
0.0000 0.0000 8.4203
Mn Zn Re
1 1 2
Cartesian
0.0000 0.0000 0.0000
1.5242 0.0000 2.0275
0.0000 0.0000 4.2511
1.5242 0.0000 6.4631
```

Values from the calculation:
**Symmetry**: Cmm2
**DFT formation energy**: 0.94 eV per formula unit
**Size of the total moment**: 2.190 μB/f.u.

---

Record 2
DFT (GGA-PBEsol) results for MnZnRe after structural relaxation.

Geometry as POSCAR:
```
MnZnRe
1.0
4.1528 0.0000 0.0000
-2.0764 3.5964 0.0000
0.0000 0.0000 2.5924
Mn Zn Re
1 1 1
Cartesian
0.0000 0.0000 0.0000
2.0764 1.1988 1.8368
0.0000 2.3976 0.6987
```

Values from the calculation:
**Symmetry**: P3m1
**DFT formation energy**: 0.45 eV per formula unit
**Size of the total moment**: 1.316 μB/f.u.

---

Record 3
DFT (GGA-PBEsol) results for ZrMnRe2 after structural relaxation.

Geometry as POSCAR:
```
ZrMnRe2
1.0
0.0000 3.1096 3.1096
3.1096 0.0000 3.1096
3.1096 3.1096 0.0000
Zr Mn Re
1 1 2
Cartesian
0.0000 0.0000 0.0000
3.1096 3.1096 3.1096
1.5548 1.5548 1.5548
4.6644 4.6644 4.6644
```

Values from the calculation:
**Symmetry**: Fm-3m
**DFT formation energy**: 0.63 eV per formula unit
**Size of the total moment**: 1.417 μB/f.u.

---

Record 4
DFT (GGA-PBEsol) results for ZrMnRe2 after structural relaxation.

Geometry as POSCAR:
```
ZrMnRe2
1.0
4.8672 -1.4512 0.0000
4.8672 1.4512 0.0000
-1.5588 0.0000 4.2719
Zr Mn Re
1 1 2
Cartesian
0.0000 0.0000 0.0000
4.0878 0.0000 2.1359
1.0531 0.0000 3.0487
7.1225 0.0000 1.2231
```

Values from the calculation:
**Symmetry**: C2/m
**DFT formation energy**: 0.30 eV per formula unit
**Size of the total moment**: 0.409 μB/f.u.

---

Record 5
DFT (GGA-PBEsol) results for ZrMn4Re after structural relaxation.

Geometry as POSCAR:
```
ZrMn4Re
1.0
0.0000 3.3558 3.3558
3.3558 0.0000 3.3558
3.3558 3.3558 0.0000
Zr Mn Re
1 4 1
Cartesian
0.0000 0.0000 0.0000
2.5067 2.5067 2.5067
4.2050 4.2050 2.5067
4.2050 2.5067 4.2050
2.5067 4.2050 4.2050
5.0338 5.0338 5.0338
```

Values from the calculation:
**Symmetry**: F-43m
**DFT formation energy**: -0.45 eV per formula unit
**Size of the total moment**: 0.001 μB/f.u.

---

Record 6
DFT (GGA-PBEsol) results for MnRh2 after structural relaxation.

Geometry as POSCAR:
```
MnRh2
1.0
1.8334 -5.6454 0.0000
1.8334 5.6454 0.0000
0.0000 0.0000 3.7510
Mn Rh
2 4
Cartesian
1.8334 4.6569 2.8133
1.8334 -4.6569 0.9378
1.8334 2.8196 0.9378
1.8334 0.9262 2.8133
1.8334 -0.9262 0.9378
1.8334 -2.8196 2.8133
```

Values from the calculation:
**Symmetry**: Cmcm
**DFT formation energy**: -0.09 eV per formula unit
**Size of the total moment**: 2.264 μB/f.u.

---

Record 7
DFT (GGA-PBEsol) results for MnRh5 after structural relaxation.

Geometry as POSCAR:
```
MnRh5
1.0
4.2630 0.0000 0.0000
0.0000 1.3439 6.8980
0.0000 -1.3439 6.8980
Mn Rh
1 5
Cartesian
0.0000 0.0000 0.0000
0.0000 0.0000 4.6648
0.0000 0.0000 9.1646
2.1315 0.0000 3.0657
2.1315 0.0000 7.6336
2.1315 0.0000 12.2829
```

Values from the calculation:
**Symmetry**: Amm2
**DFT formation energy**: -0.09 eV per formula unit
**Size of the total moment**: 1.743 μB/f.u.

---

Record 8
DFT (GGA-PBEsol) results for Mn3Rh after structural relaxation.

Geometry as POSCAR:
```
Mn3Rh
1.0
2.8785 0.0000 0.0000
0.0000 2.8785 0.0000
0.0000 0.0000 5.8415
Mn Rh
3 1
Cartesian
0.0000 0.0000 0.0000
1.4392 1.4392 1.3645
1.4392 1.4392 4.4770
0.0000 0.0000 2.9208
```

Values from the calculation:
**Symmetry**: P4/mmm
**DFT formation energy**: 0.43 eV per formula unit
**Size of the total moment**: 5.860 μB/f.u.

---

Record 9
DFT (GGA-PBEsol) results for MnRh5 after structural relaxation.

Geometry as POSCAR:
```
MnRh5
1.0
2.6463 0.0000 0.0000
0.0000 2.6463 0.0000
0.0000 0.0000 11.1366
Mn Rh
1 5
Cartesian
0.0000 0.0000 0.0000
0.0000 0.0000 3.6845
0.0000 0.0000 7.4521
1.3232 1.3232 1.7254
1.3232 1.3232 5.5683
1.3232 1.3232 9.4112
```

Values from the calculation:
**Symmetry**: P4/mmm
**DFT formation energy**: -0.07 eV per formula unit
**Size of the total moment**: 0.946 μB/f.u.

---

Record 10
DFT (GGA-PBEsol) results for MnRh2 after structural relaxation.

Geometry as POSCAR:
```
MnRh2
1.0
5.2522 0.0000 0.0000
0.0000 3.7631 0.0000
0.0000 0.0000 7.8812
Mn Rh
4 8
Cartesian
0.7457 0.9408 0.7325
1.8804 2.8223 4.6730
3.3717 0.9408 3.2081
4.5065 2.8223 7.1487
0.5456 0.9408 5.9796
0.7357 0.9408 3.3296
1.8904 2.8223 7.2702
2.0805 2.8223 2.0390
3.1716 0.9408 5.8421
3.3618 0.9408 0.6110
4.5164 2.8223 4.5515
4.7066 2.8223 1.9015
```

Values from the calculation:
**Symmetry**: Pnma
**DFT formation energy**: -0.14 eV per formula unit
**Size of the total moment**: 2.551 μB/f.u.

---

Record 11
DFT (GGA-PBEsol) results for MnRh after structural relaxation.

Geometry as POSCAR:
```
MnRh
1.0
2.9829 0.0000 0.0000
0.0000 2.9829 0.0000
0.0000 0.0000 2.9829
Mn Rh
1 1
Cartesian
0.0000 0.0000 0.0000
1.4915 1.4915 1.4915
```

Values from the calculation:
**Symmetry**: Pm-3m
**DFT formation energy**: -0.09 eV per formula unit
**Size of the total moment**: 4.044 μB/f.u.

---

Record 12
DFT (GGA-PBEsol) results for Mn2Rh3 after structural relaxation.

Geometry as POSCAR:
```
Mn2Rh3
1.0
4.0310 0.0000 0.0000
-2.0155 3.4909 0.0000
0.0000 0.0000 5.0173
Mn Rh
2 3
Cartesian
0.0000 2.3273 1.6337
2.0155 1.1636 3.3836
0.0000 0.0000 2.5086
0.0000 2.3273 4.2217
2.0155 1.1636 0.7955
```

Values from the calculation:
**Symmetry**: P-3m1
**DFT formation energy**: 1.27 eV per formula unit
**Size of the total moment**: 5.912 μB/f.u.

---

Record 13
DFT (GGA-PBEsol) results for MnRh after structural relaxation.

Geometry as POSCAR:
```
MnRh
1.0
2.5942 0.0000 0.0000
-1.2971 2.2467 0.0000
0.0000 0.0000 8.2222
Mn Rh
2 2
Cartesian
0.0000 0.0000 0.0000
0.0000 0.0000 4.1111
0.0000 1.4978 2.0555
1.2971 0.7489 6.1666
```

Values from the calculation:
**Symmetry**: P6_3/mmc
**DFT formation energy**: 0.09 eV per formula unit
**Size of the total moment**: 0.004 μB/f.u.

---

Record 14
DFT (GGA-PBEsol) results for Mn5Rh3 after structural relaxation.

Geometry as POSCAR:
```
Mn5Rh3
1.0
3.0312 -4.1613 0.0000
3.0312 4.1613 0.0000
0.0000 0.0000 4.1490
Mn Rh
5 3
Cartesian
0.0000 0.0000 0.0000
1.5156 2.0806 0.0000
1.5127 0.0000 2.0745
1.5156 -2.0806 0.0000
4.5498 0.0000 2.0745
3.0312 2.1067 2.0745
3.0312 0.0000 0.0000
3.0312 -2.1067 2.0745
```

Values from the calculation:
**Symmetry**: Cmmm
**DFT formation energy**: 0.26 eV per formula unit
**Size of the total moment**: 12.947 μB/f.u.

---

Record 15
DFT (GGA-PBEsol) results for MnRh2 after structural relaxation.

Geometry as POSCAR:
```
MnRh2
1.0
4.7647 -1.3155 0.0000
4.7647 1.3155 0.0000
-1.4692 0.0000 5.9456
Mn Rh
2 4
Cartesian
-0.1883 0.0000 1.8534
8.2484 0.0000 4.0922
2.4728 0.0000 2.1935
2.0546 0.0000 5.7610
6.0055 0.0000 0.1846
5.5873 0.0000 3.7521
```

Values from the calculation:
**Symmetry**: C2/m
**DFT formation energy**: -0.11 eV per formula unit
**Size of the total moment**: 0.001 μB/f.u.